# 1
Material: BaH6N2F2
Method: DFT, GGA-PBE
State: relaxed

```
BaH6N2F2
1.0
4.0810 -0.0582 -0.6317
1.9324 5.8486 -1.1944
-0.8874 -4.0979 6.5674
N H F Ba
2 6 2 1
Cartesian
3.1564 1.3918 0.1276
1.9697 0.3007 4.6137
3.8207 1.3742 -0.6587
2.8999 0.2929 5.0497
1.8809 1.2210 4.1550
2.2261 1.3996 -0.3085
3.2451 0.4715 0.5863
1.3053 0.3183 5.3999
5.3563 4.5042 0.0534
-0.2302 -2.8117 4.6879
1.5968 -2.0780 2.9678
```

Results
- theoretical density (g cm⁻³) = 2.5
- DFT total energy (eV per formula unit) = -56.53
- space group = P-1 (2)

***

# 2
Material: Ba2NaHF6
Method: DFT, GGA-PBE
State: relaxed

```
Ba2NaHF6
1.0
5.7002 0.6121 0.0012
0.6121 5.6909 0.0010
3.1575 3.1528 4.4608
F H Ba Na
6 1 2 1
Cartesian
4.6386 4.6351 4.4602
6.3125 6.3032 2.0978
7.1553 5.4587 4.4618
4.8313 4.8206 0.0027
3.1573 3.1525 2.3652
2.3146 3.9970 0.0012
3.1562 3.1515 0.0011
3.4628 5.9976 2.2284
6.0070 3.4582 2.2345
0.0000 0.0000 0.0000
```

Results
- theoretical density (g cm⁻³) = 4.8
- DFT total energy (eV per formula unit) = -49.88
- space group = C2/m (12)